Compound: Ta2AlV2Os5
Source: the Alexandria database
Functional: PBE-GGA
Structure: relaxed

a b c (Å): 3.8227 8.9741 8.9741
angles (deg): 90.00 90.00 90.00
With the nearest neighbours (Å) after each atom.
Fractional coordinates of all 20 atoms:
Os: 0.5000 0.5602 0.7012  2 V 2.55, 3 Os 2.67-2.74, 2 Al 2.68
Os: 0.5000 0.2012 0.0602  2 V 2.55, 3 Os 2.67-2.74, 2 Al 2.68
Os: 0.5000 0.4398 0.2988  2 V 2.55, 3 Os 2.67-2.74, 2 Al 2.68
Os: 0.5000 0.0602 0.7988  2 V 2.55, 3 Os 2.67-2.74, 2 Al 2.68
Os: 0.5000 0.2988 0.5602  2 V 2.55, 3 Os 2.67-2.74, 2 Al 2.68
Os: 0.5000 0.0000 0.5000  4 V 2.44
Os: 0.5000 0.7012 0.4398  2 V 2.55, 3 Os 2.67-2.74, 2 Al 2.68
Os: 0.5000 0.5000 0.0000  4 V 2.44
Os: 0.5000 0.9398 0.2012  2 V 2.55, 3 Os 2.67-2.74, 2 Al 2.68
Os: 0.5000 0.7988 0.9398  2 V 2.55, 3 Os 2.67-2.74, 2 Al 2.68
V: 0.0000 0.8807 0.3807  6 Os 2.44-2.55, 1 Ta 2.53
V: 0.0000 0.3807 0.1193  6 Os 2.44-2.55, 1 Ta 2.53
V: 0.0000 0.6193 0.8807  6 Os 2.44-2.55, 1 Ta 2.53
V: 0.0000 0.1193 0.6193  6 Os 2.44-2.55, 1 Ta 2.53
Al: 0.0000 0.5000 0.5000  8 Os 2.68
Al: 0.0000 0.0000 0.0000  8 Os 2.68
Ta: 0.0000 0.3185 0.8185  3 V 2.53-2.76
Ta: 0.0000 0.6815 0.1815  3 V 2.53-2.76
Ta: 0.0000 0.1815 0.3185  3 V 2.53-2.76
Ta: 0.0000 0.8185 0.6815  3 V 2.53-2.76

Space-group type: P4/mbm, No. 127
Theoretical density (Mg/m³): 15.55
E (eV per atom): -10.198
Magnetic moment (μB per formula unit): 0.00

---

Compound: Ho3Tm2Ga2
Source: the Alexandria database
Functional: PBE-GGA
Structure: relaxed

a b c (Å): 3.6715 6.7269 8.6968
angles (deg): 113.41 90.00 105.84
With the nearest neighbours (Å) after each atom.
Fractional coordinates of all 7 atoms:
Ho: 0.3881 0.7762 0.5621  3 Ga 3.07-3.08
Ho: 0.5000 0.0000 0.0000  4 Ga 2.99
Ho: 0.6119 0.2238 0.4379  3 Ga 3.07-3.08
Ga: 0.8144 0.6287 0.7836  2 Tm 2.95, 5 Ho 2.99-3.08
Ga: 0.1856 0.3713 0.2164  2 Tm 2.95, 5 Ho 2.99-3.08
Tm: 0.1438 0.2877 0.8088  2 Ga 2.95
Tm: 0.8562 0.7123 0.1912  2 Ga 2.95

Space-group type: C2/m, No. 12
Theoretical density (Mg/m³): 8.58
E (eV per atom): -4.436
Magnetic moment (μB per formula unit): 0.00

---

Number 1: formation enthalpy at 0 K -0.02 eV per atom. Number 2: formation enthalpy at 0 K -0.33 eV per atom.